The following is a DFT calculation (meta-GGA SCAN) of a PBEsol-optimized structure of KFeO2.

Results
Formation energy (no corrections): -2.11 eV per formula unit
ρ: 4.6 g/cm³
Calculated volume: 46.0 Å³/f.u.
Spin magnetization: 1.250 μB/atom

Lattice parameters (Å, degrees): 5.688 5.688 5.688 90.00 90.00 90.00
Space group Fm-3m (No. 225)
Inequivalent atoms, fractional coordinates:
K (0.000, 0.000, 0.000) x4
Fe (0.000, 0.000, 0.500) x4
O (0.250, 0.250, 0.250) x8